Zn2Ga8Cu: relaxed, PBE.

Lattice parameters (Å, degrees): 4.900 6.666 6.666 74.46 79.38 79.38
Element x y z (fractional)
Ga  0.792  0.211  0.656
Ga  0.208  0.789  0.344
Ga  0.672  0.625  0.625
Ga  0.328  0.375  0.375
Ga  0.099  0.757  0.757
Ga  0.208  0.344  0.789
Ga  0.901  0.243  0.243
Ga  0.792  0.656  0.211
Cu  0.000  0.000  0.000
Zn  0.526  0.876  0.876
Zn  0.474  0.124  0.124

Values from the calculation:
The energy of formation is 0.032 eV per atom. As for the energy above the lowest structure with this stoichiometry: 16 meV per atom. The calculation puts the total energy at -30.51 eV for the cell shown.